{
  "formula": "CaAc2Al4Ag3",
  "functional": "PBE",
  "state": "optimized geometry",
  "total_energy_ev_per_cell": -36.39,
  "e_form_ev_per_atom": -0.265,
  "cell": [[-3.356, 2.424, -1.842], [-3.042, -2.767, 1.902], [-0.289, 7.082, 9.843]],
  "species": ["Ac", "Ca", "Ac", "Al", "Ag", "Al", "Ag", "Ag", "Al", "Al"],
  "fractional_positions": [[0.500, 0.000, 0.227], [0.500, 0.500, 0.500], [0.000, 0.500, 0.773], [0.500, 0.000, 0.667], [0.000, 0.000, 0.500], [0.000, 0.500, 0.333], [0.000, 0.500, 0.117], [0.500, 0.000, 0.883], [0.000, 0.000, 0.000], [0.500, 0.500, 0.000]]
}